P.
Computed, not measured: a relaxed LiCrSeN2 crystal at the PBE level of DFT.

Cell and atoms, written as CIF:
```
data_LiCrSeN2
_cell_length_a 3.6012
_cell_length_b 3.6012
_cell_length_c 4.5492
_cell_angle_alpha 90.00
_cell_angle_beta 90.00
_cell_angle_gamma 90.00
_symmetry_space_group_name_H-M 'P 4/m m m'
_symmetry_Int_Tables_number 123
_symmetry_space_group_name_Hall '-P 4 2'
loop_
_atom_site_label
_atom_site_fract_x
_atom_site_fract_y
_atom_site_fract_z
_atom_site_occupancy
Li1 0.0000 0.0000 0.0000 1
Cr1 0.5000 0.5000 0.5000 1
Se1 0.0000 0.0000 0.5000 1
N1 0.0000 0.5000 0.0000 1
```

## Properties
Fermi-level density of states = 5.19 states/eV per cell

---

Q.
Computed, not measured: a relaxed LiCrSeN2 crystal at the PBE level of DFT.

Cell and atoms, written as CIF:
```
data_LiCrSeN2
_cell_length_a 3.6397
_cell_length_b 3.6397
_cell_length_c 5.1646
_cell_angle_alpha 90.00
_cell_angle_beta 90.00
_cell_angle_gamma 90.00
_symmetry_space_group_name_H-M 'P 4/m m m'
_symmetry_Int_Tables_number 123
_symmetry_space_group_name_Hall '-P 4 2'
loop_
_atom_site_label
_atom_site_fract_x
_atom_site_fract_y
_atom_site_fract_z
_atom_site_occupancy
Li1 0.0000 0.0000 0.0000 1
Cr1 0.5000 0.5000 0.5000 1
Se1 0.5000 0.5000 0.0000 1
N1 0.0000 0.5000 0.5000 1
```

## Properties
Fermi-level density of states = 1.80 states/eV per cell

---

Name the least stable of them. P.